VASP calculation (PBE) on a geometry-optimized CsTl3Ir structure.

Total DFT energy (no corrections) ... -3.2997 eV per atom

abc: 8.816 4.276 9.853
angles: 90.00 113.70 90.00
Sites, in units of the cell vectors:
Cs: 0.222 0.250 0.432
Cs: 0.778 0.750 0.568
Tl: 0.075 0.250 0.924
Tl: 0.261 0.750 0.770
Tl: 0.380 0.750 0.190
Tl: 0.620 0.250 0.810
Tl: 0.739 0.250 0.230
Tl: 0.925 0.750 0.076
Ir: 0.414 0.250 0.992
Ir: 0.586 0.750 0.008

VASP calculation (PBE) on a geometry-optimized CsIrW structure.

Total DFT energy (no corrections) ... -5.5663 eV per atom

abc: 4.600 4.600 4.600
angles: 60.00 60.00 60.00
Sites, in units of the cell vectors:
Cs: 0.000 0.000 0.000
Ir: 0.500 0.500 0.500
W: 0.250 0.250 0.250

VASP calculation (PBE) on a geometry-optimized CsYIr structure.

Total DFT energy (no corrections) ... -4.0724 eV per atom

abc: 4.913 4.913 4.913
angles: 60.00 60.00 60.00
Sites, in units of the cell vectors:
Cs: 0.000 0.000 0.000
Y: 0.250 0.250 0.250
Ir: 0.750 0.750 0.750

VASP calculation (PBE) on a geometry-optimized CsZnIr structure.

Total DFT energy (no corrections) ... -2.6565 eV per atom

abc: 4.822 4.822 4.822
angles: 60.00 60.00 60.00
Sites, in units of the cell vectors:
Cs: 0.000 0.000 0.000
Zn: 0.500 0.500 0.500
Ir: 0.250 0.250 0.250

VASP calculation (PBE) on a geometry-optimized CsKLu structure.

Total DFT energy (no corrections) ... -1.1674 eV per atom

abc: 6.814 6.814 6.814
angles: 60.00 60.00 60.00
Sites, in units of the cell vectors:
Cs: 0.000 0.000 0.000
K: 0.500 0.500 0.500
Lu: 0.250 0.250 0.250

VASP calculation (PBE) on a geometry-optimized CsKMo structure.

Total DFT energy (no corrections) ... -2.6535 eV per atom

abc: 6.547 6.547 6.547
angles: 60.00 60.00 60.00
Sites, in units of the cell vectors:
Cs: 0.000 0.000 0.000
K: 0.500 0.500 0.500
Mo: 0.250 0.250 0.250

VASP calculation (PBE) on a geometry-optimized Cs2K2NaReO6 structure.

Total DFT energy (no corrections) ... -5.5321 eV per atom

abc: 6.485 6.485 6.652
angles: 102.81 102.81 121.60
Sites, in units of the cell vectors:
Cs: 0.175 0.825 0.000
Cs: 0.825 0.175 0.000
K: 0.333 0.667 0.500
K: 0.667 0.333 0.500
Na: 0.500 0.500 0.000
Re: 0.000 0.000 0.500
O: 0.091 0.328 0.699
O: 0.178 0.178 0.333
O: 0.328 0.091 0.699
O: 0.672 0.909 0.301
O: 0.822 0.822 0.667
O: 0.909 0.672 0.301

VASP calculation (PBE) on a geometry-optimized CsKNb structure.

Total DFT energy (no corrections) ... -2.3175 eV per atom

abc: 6.262 6.262 6.262
angles: 60.00 60.00 60.00
Sites, in units of the cell vectors:
Cs: 0.000 0.000 0.000
K: 0.250 0.250 0.250
Nb: 0.500 0.500 0.500

VASP calculation (PBE) on a geometry-optimized CsKNb structure.

Total DFT energy (no corrections) ... -2.2410 eV per atom

abc: 6.285 6.285 6.285
angles: 60.00 60.00 60.00
Sites, in units of the cell vectors:
Cs: 0.000 0.000 0.000
K: 0.750 0.750 0.750
Nb: 0.250 0.250 0.250

VASP calculation (PBE) on a geometry-optimized CsK2NbP2O8 structure.

Total DFT energy (no corrections) ... -6.7308 eV per atom

abc: 5.547 5.547 7.728
angles: 90.00 90.00 120.00
Sites, in units of the cell vectors:
Cs: 0.000 0.000 0.000
K: 0.333 0.667 0.738
K: 0.667 0.333 0.262
Nb: 0.000 0.000 0.500
P: 0.333 0.667 0.271
P: 0.667 0.333 0.729
O: 0.181 0.363 0.341
O: 0.181 0.819 0.341
O: 0.333 0.667 0.074
O: 0.363 0.181 0.659
O: 0.637 0.819 0.341
O: 0.667 0.333 0.926
O: 0.819 0.181 0.659
O: 0.819 0.637 0.659

VASP calculation (PBE) on a geometry-optimized CsK2RbNb2O5 structure.

Total DFT energy (no corrections) ... -6.1582 eV per atom

abc: 6.087 6.087 7.969
angles: 96.73 96.73 67.16
Sites, in units of the cell vectors:
Cs: 0.000 0.000 0.000
K: 0.312 0.312 0.354
K: 0.990 0.990 0.492
Rb: 0.678 0.678 0.642
Nb: 0.396 0.396 0.806
Nb: 0.616 0.616 0.195
O: 0.149 0.595 0.674
O: 0.383 0.842 0.320
O: 0.568 0.568 0.949
O: 0.595 0.149 0.674
O: 0.842 0.383 0.320

VASP calculation (PBE) on a geometry-optimized Cs2KNbTe4 structure.

Total DFT energy (no corrections) ... -3.9940 eV per atom

abc: 7.865 7.865 7.865
angles: 107.40 107.40 113.70
Sites, in units of the cell vectors:
Cs: 0.000 0.500 0.500
Cs: 0.500 0.000 0.500
K: 0.000 0.000 0.000
Nb: 0.500 0.500 0.000
Te: 0.159 0.159 0.673
Te: 0.486 0.486 0.327
Te: 0.514 0.841 0.000
Te: 0.841 0.514 0.000

VASP calculation (PBE) on a geometry-optimized CsKNi structure.

Total DFT energy (no corrections) ... -1.6238 eV per atom

abc: 5.750 5.750 5.750
angles: 60.00 60.00 60.00
Sites, in units of the cell vectors:
Cs: 0.000 0.000 0.000
K: 0.750 0.750 0.750
Ni: 0.250 0.250 0.250

VASP calculation (PBE) on a geometry-optimized CsKNi structure.

Total DFT energy (no corrections) ... -1.8637 eV per atom

abc: 5.787 5.787 5.787
angles: 60.00 60.00 60.00
Sites, in units of the cell vectors:
Cs: 0.000 0.000 0.000
K: 0.500 0.500 0.500
Ni: 0.250 0.250 0.250

VASP calculation (PBE) on a geometry-optimized Cs2K4Pd2O5 structure.

Total DFT energy (no corrections) ... -4.0963 eV per atom

abc: 6.696 6.696 6.962
angles: 90.11 90.11 116.68
Sites, in units of the cell vectors:
Cs: 0.177 0.177 0.207
Cs: 0.823 0.823 0.793
K: 0.264 0.736 0.500
K: 0.286 0.714 0.000
K: 0.714 0.286 0.000
K: 0.736 0.264 0.500
Pd: 0.295 0.295 0.698
Pd: 0.705 0.705 0.302
O: 0.045 0.364 0.771
O: 0.364 0.045 0.771
O: 0.500 0.500 0.500
O: 0.636 0.955 0.229
O: 0.955 0.636 0.229

VASP calculation (PBE) on a geometry-optimized CsKPt2O4 structure.

Total DFT energy (no corrections) ... -5.1620 eV per atom

abc: 6.127 6.381 6.381
angles: 44.20 90.00 90.00
Sites, in units of the cell vectors:
Cs: 0.000 0.000 0.000
K: 0.500 0.612 0.612
Pt: 0.000 0.304 0.304
Pt: 0.500 0.310 0.310
O: 0.247 0.414 0.414
O: 0.257 0.201 0.201
O: 0.743 0.201 0.201
O: 0.753 0.414 0.414

VASP calculation (PBE) on a geometry-optimized Cs2KRb2ReO6 structure.

Total DFT energy (no corrections) ... -5.4799 eV per atom

abc: 6.682 6.682 6.590
angles: 100.89 100.89 121.13
Sites, in units of the cell vectors:
Cs: 0.172 0.828 0.000
Cs: 0.828 0.172 0.000
K: 0.500 0.500 0.000
Rb: 0.333 0.667 0.500
Rb: 0.667 0.333 0.500
Re: 0.000 0.000 0.500
O: 0.073 0.306 0.686
O: 0.174 0.174 0.322
O: 0.306 0.073 0.686
O: 0.694 0.927 0.314
O: 0.826 0.826 0.678
O: 0.927 0.694 0.314

VASP calculation (PBE) on a geometry-optimized Cs2K3ReO6 structure.

Total DFT energy (no corrections) ... -5.5270 eV per atom

abc: 6.479 6.479 6.623
angles: 100.69 100.69 121.05
Sites, in units of the cell vectors:
Cs: 0.175 0.825 0.000
Cs: 0.825 0.175 0.000
K: 0.334 0.666 0.500
K: 0.500 0.500 0.000
K: 0.666 0.334 0.500
Re: 0.000 0.000 0.500
O: 0.073 0.313 0.683
O: 0.181 0.181 0.324
O: 0.313 0.073 0.683
O: 0.687 0.927 0.317
O: 0.819 0.819 0.676
O: 0.927 0.687 0.317

VASP calculation (PBE) on a geometry-optimized Cs2K3ReO6 structure.

Total DFT energy (no corrections) ... -5.5151 eV per atom

abc: 6.835 6.835 6.183
angles: 100.87 100.87 120.64
Sites, in units of the cell vectors:
Cs: 0.170 0.830 0.000
Cs: 0.830 0.170 0.000
K: 0.000 0.000 0.500
K: 0.350 0.650 0.500
K: 0.650 0.350 0.500
Re: 0.500 0.500 0.000
O: 0.206 0.434 0.799
O: 0.328 0.328 0.184
O: 0.434 0.206 0.799
O: 0.566 0.794 0.201
O: 0.672 0.672 0.816
O: 0.794 0.566 0.201

VASP calculation (PBE) on a geometry-optimized Cs2K4Tm2O5 structure.

Total DFT energy (no corrections) ... -4.7912 eV per atom

abc: 7.106 7.106 7.040
angles: 90.84 90.84 116.89
Sites, in units of the cell vectors:
Cs: 0.138 0.138 0.273
Cs: 0.862 0.862 0.727
K: 0.248 0.752 0.000
K: 0.267 0.733 0.500
K: 0.733 0.267 0.500
K: 0.752 0.248 0.000
Tm: 0.350 0.350 0.753
Tm: 0.650 0.650 0.247
O: 0.055 0.338 0.744
O: 0.338 0.055 0.744
O: 0.500 0.500 0.500
O: 0.662 0.945 0.256
O: 0.945 0.662 0.256